Computed, not measured: an optimized crystal structure of CaLaIn at the GGA-PBE level of DFT.

Cell: 5.4759 6.5523 6.6876 Å, 89.45 66.17 65.33°
Space group P1 (No. 1)
One atom of each set of equivalent atoms:
Ca: 0.0000 0.0000 0.0000 [1 per cell]
Ca: 0.4908 0.5198 0.4980 [1 per cell]
La: 0.2762 0.3850 0.0620 [1 per cell]
La: 0.7663 0.9108 0.5543 [1 per cell]
In: 0.0636 0.2730 0.5997 [1 per cell]
In: 0.6198 0.7196 0.0403 [1 per cell]

E above lowest polymorph, eV per formula unit: 0.57
Final energy, eV per cell: -20.87
E_form, kJ/mol of formula units: -74.2